TaNbTc2 | Alexandria | SCAN | PBEsol geometry; formation energy from the elements = -0.5112 eV/atom; total moment = 0.00 μB per formula unit
1.0
0.000 3.155 3.155
3.155 0.000 3.155
3.155 3.155 0.000
Ta Nb Tc
1 1 2
direct
0.000 0.000 0.000
0.500 0.500 0.500
0.250 0.250 0.250
0.750 0.750 0.750

***

TaNbTe4 | Alexandria | SCAN | PBEsol geometry; formation energy (no corrections) = -0.408 eV per atom; total moment = 0.00 μB per formula unit
1.0
7.187 0.000 0.000
-1.797 7.278 0.000
-1.798 -4.039 8.717
Ta Nb Te
3 3 12
direct
0.000 0.000 0.000
0.174 0.985 0.712
0.675 0.986 0.712
0.349 0.972 0.425
0.500 0.999 0.999
0.849 0.972 0.425
0.020 0.678 0.404
0.132 0.199 0.330
0.217 0.774 0.094
0.328 0.293 0.021
0.354 0.693 0.720
0.495 0.278 0.703
0.521 0.678 0.404
0.632 0.198 0.330
0.717 0.774 0.094
0.829 0.293 0.021
0.854 0.694 0.722
0.995 0.278 0.703

***

TaNbTeW2 | Alexandria | SCAN | PBEsol geometry; formation energy (no corrections) = 2.306 eV per atom; total moment = 0.00 μB per formula unit
1.0
4.775 0.000 0.000
0.000 4.775 0.000
0.000 0.000 4.831
Ta Nb Te W
1 1 1 2
direct
0.000 0.000 0.000
0.500 0.500 0.000
0.500 0.500 0.500
0.000 0.500 0.500
0.500 0.000 0.500

***

Ta2TiNb | Alexandria | SCAN | PBEsol geometry; formation energy from the elements = 0.0491 eV/atom; total moment = 0.00 μB per formula unit
1.0
0.000 3.258 3.258
3.258 0.000 3.258
3.258 3.258 0.000
Ta Ti Nb
2 1 1
direct
0.250 0.250 0.250
0.750 0.750 0.750
0.000 0.000 0.000
0.500 0.500 0.500